1.
Computed, not measured: a geometry-optimized ThMg9Cd3 structure at the PBE level of DFT.

Cell: 7.6928 7.6928 7.6951 Å, 98.21 98.21 135.12°
Positions (direct):
Th (0.0000, 0.0000, 0.0000)
Mg (0.0000, 0.0000, 0.5000)
Mg (0.0019, 0.6499, 0.6513)
Mg (0.2896, 0.5020, 0.7893)
Mg (0.3501, 0.9981, 0.3487)
Mg (0.4980, 0.7104, 0.2107)
Mg (0.5020, 0.2896, 0.7893)
Mg (0.6499, 0.0019, 0.6513)
Mg (0.7104, 0.4980, 0.2107)
Mg (0.9981, 0.3501, 0.3487)
Cd (0.0000, 0.5000, 0.0000)
Cd (0.5000, 0.0000, 0.0000)
Cd (0.5000, 0.5000, 0.5000)

Computed properties:
Raw total energy, eV/cell: -25.6
Symmetry: C2/m, No. 12
Density, g/cm³: 4.39
Formation enthalpy at 0 K, eV per atom: -0.082
N(E_F), states/eV/atom: 0.301



2.
Computed, not measured: a geometry-optimized ThMg5Cd4 structure at the PBE level of DFT.

Cell: 3.5706 3.5706 18.0243 Å, 90.00 90.00 90.00°
Positions (direct):
Th (0.0000, 0.0000, 0.0000)
Mg (0.5000, 0.5000, 0.1278)
Mg (0.5000, 0.5000, 0.3146)
Mg (0.5000, 0.5000, 0.5000)
Mg (0.5000, 0.5000, 0.6854)
Mg (0.5000, 0.5000, 0.8722)
Cd (0.0000, 0.0000, 0.2182)
Cd (0.0000, 0.0000, 0.4081)
Cd (0.0000, 0.0000, 0.5919)
Cd (0.0000, 0.0000, 0.7818)

Computed properties:
Raw total energy, eV/cell: -19.7
Symmetry: P4/mmm, No. 123
Density, g/cm³: 5.80
Formation enthalpy at 0 K, eV per atom: -0.067
N(E_F), states/eV/atom: 0.523



3.
Computed, not measured: a geometry-optimized ThMg4Cd2 structure at the PBE level of DFT.

Cell: 8.6310 8.6310 8.6310 Å, 33.11 33.11 33.11°
Positions (direct):
Th (0.0000, 0.0000, 0.0000)
Mg (0.1385, 0.1385, 0.1385)
Mg (0.4187, 0.4187, 0.4187)
Mg (0.5813, 0.5813, 0.5813)
Mg (0.8615, 0.8615, 0.8615)
Cd (0.2622, 0.2622, 0.2622)
Cd (0.7378, 0.7378, 0.7378)

Computed properties:
Raw total energy, eV/cell: -16.2
Symmetry: R-3m, No. 166
Density, g/cm³: 5.39
Formation enthalpy at 0 K, eV per atom: -0.075
N(E_F), states/eV/atom: 0.610
ΔE to the lowest computed polymorph, eV per atom: 0.008



4.
Computed, not measured: a geometry-optimized ThMgCd3 structure at the PBE level of DFT.

Cell: 9.4222 4.5501 11.6242 Å, 90.00 90.00 90.00°
Positions (direct):
Th (0.1666, 0.2500, 0.0036)
Th (0.3334, 0.7500, 0.5036)
Th (0.6666, 0.2500, 0.4964)
Th (0.8334, 0.7500, 0.9964)
Mg (0.0737, 0.2500, 0.3899)
Mg (0.4263, 0.7500, 0.8899)
Mg (0.5737, 0.2500, 0.1101)
Mg (0.9263, 0.7500, 0.6101)
Cd (0.0964, 0.7500, 0.2070)
Cd (0.1226, 0.2500, 0.6270)
Cd (0.1346, 0.7500, 0.7999)
Cd (0.3654, 0.2500, 0.2999)
Cd (0.3774, 0.7500, 0.1270)
Cd (0.4036, 0.2500, 0.7070)
Cd (0.5964, 0.7500, 0.2930)
Cd (0.6226, 0.2500, 0.8730)
Cd (0.6346, 0.7500, 0.7001)
Cd (0.8654, 0.2500, 0.2001)
Cd (0.8774, 0.7500, 0.3730)
Cd (0.9036, 0.2500, 0.7930)

Computed properties:
Raw total energy, eV/cell: -48.6
Symmetry: Pnma, No. 62
Density, g/cm³: 7.91
Formation enthalpy at 0 K, eV per atom: -0.079
N(E_F), states/eV/atom: 0.693



5.
Computed, not measured: a geometry-optimized ThMg8Cd4 structure at the PBE level of DFT.

Cell: 7.6780 7.6780 7.6780 Å, 98.44 98.44 134.96°
Positions (direct):
Th (0.0000, 0.0000, 0.0000)
Mg (0.0000, 0.3501, 0.3501)
Mg (0.0000, 0.6499, 0.6499)
Mg (0.2881, 0.5000, 0.7881)
Mg (0.3501, 0.0000, 0.3501)
Mg (0.5000, 0.2881, 0.7881)
Mg (0.5000, 0.7119, 0.2119)
Mg (0.6499, 0.0000, 0.6499)
Mg (0.7119, 0.5000, 0.2119)
Cd (0.0000, 0.0000, 0.5000)
Cd (0.0000, 0.5000, 0.0000)
Cd (0.5000, 0.0000, 0.0000)
Cd (0.5000, 0.5000, 0.5000)

Computed properties:
Raw total energy, eV/cell: -25.1
Symmetry: I4/mmm, No. 139
Density, g/cm³: 4.92
Formation enthalpy at 0 K, eV per atom: -0.100
N(E_F), states/eV/atom: 0.302



6.
Computed, not measured: a geometry-optimized ThMgCd structure at the PBE level of DFT.

Cell: 7.0770 7.0770 7.0770 Å, 152.13 152.13 39.82°
Positions (direct):
Th (0.0000, 0.0000, 0.0000)
Mg (0.3144, 0.3144, 0.0000)
Cd (0.6803, 0.6803, 0.0000)

Computed properties:
Raw total energy, eV/cell: -10.1
Symmetry: I4mm, No. 107
Density, g/cm³: 7.92
Formation enthalpy at 0 K, eV per atom: -0.069
N(E_F), states/eV/atom: 0.766



7.
Computed, not measured: a geometry-optimized ThMg3Cd3 structure at the PBE level of DFT.

Cell: 7.4170 7.4170 7.4170 Å, 90.00 90.00 90.00°
Positions (direct):
Th (0.0000, 0.0000, 0.0000)
Th (0.5000, 0.5000, 0.5000)
Mg (0.0000, 0.2500, 0.5000)
Mg (0.0000, 0.7500, 0.5000)
Mg (0.2500, 0.5000, 0.0000)
Mg (0.5000, 0.0000, 0.2500)
Mg (0.5000, 0.0000, 0.7500)
Mg (0.7500, 0.5000, 0.0000)
Cd (0.0000, 0.5000, 0.2500)
Cd (0.0000, 0.5000, 0.7500)
Cd (0.2500, 0.0000, 0.5000)
Cd (0.5000, 0.2500, 0.0000)
Cd (0.5000, 0.7500, 0.0000)
Cd (0.7500, 0.0000, 0.5000)

Computed properties:
Raw total energy, eV/cell: -22.2
Symmetry: Pm-3n, No. 223
Density, g/cm³: 5.23
Formation enthalpy at 0 K, eV per atom: 0.546
N(E_F), states/eV/atom: 0.811



8.
Computed, not measured: a geometry-optimized ThMg12Cd6 structure at the PBE level of DFT.

Cell: 8.0226 8.0226 8.0226 Å, 104.42 104.42 104.42°
Positions (direct):
Th (0.0000, 0.0000, 0.0000)
Mg (0.1114, 0.5000, 0.8886)
Mg (0.1114, 0.8886, 0.5000)
Mg (0.1436, 0.3922, 0.3922)
Mg (0.3922, 0.1436, 0.3922)
Mg (0.3922, 0.3922, 0.1436)
Mg (0.5000, 0.1114, 0.8886)
Mg (0.5000, 0.8886, 0.1114)
Mg (0.6078, 0.6078, 0.8564)
Mg (0.6078, 0.8564, 0.6078)
Mg (0.8564, 0.6078, 0.6078)
Mg (0.8886, 0.1114, 0.5000)
Mg (0.8886, 0.5000, 0.1114)
Cd (0.2785, 0.2785, 0.7169)
Cd (0.2785, 0.7169, 0.2785)
Cd (0.2831, 0.7215, 0.7215)
Cd (0.7169, 0.2785, 0.2785)
Cd (0.7215, 0.2831, 0.7215)
Cd (0.7215, 0.7215, 0.2831)

Computed properties:
Raw total energy, eV/cell: -30.8
Symmetry: R-3m, No. 166
Density, g/cm³: 4.35
Formation enthalpy at 0 K, eV per atom: 0.067
N(E_F), states/eV/atom: 0.472



9.
Computed, not measured: a geometry-optimized Th2MgCd6 structure at the PBE level of DFT.

Cell: 6.3271 6.3271 6.4070 Å, 90.00 90.00 120.00°
Positions (direct):
Th (0.3333, 0.6667, 0.3642)
Th (0.6667, 0.3333, 0.6358)
Mg (0.0000, 0.0000, 0.5000)
Cd (0.1769, 0.3539, 0.8296)
Cd (0.1769, 0.8231, 0.8296)
Cd (0.3539, 0.1769, 0.1704)
Cd (0.6461, 0.8231, 0.8296)
Cd (0.8231, 0.1769, 0.1704)
Cd (0.8231, 0.6461, 0.1704)

Computed properties:
Raw total energy, eV/cell: -23.1
Symmetry: P-3m1, No. 164
Density, g/cm³: 8.69
Formation enthalpy at 0 K, eV per atom: -0.131
N(E_F), states/eV/atom: 0.838
ΔE to the lowest computed polymorph, eV per atom: 0.009



10.
Computed, not measured: a geometry-optimized ThMgTlCd structure at the PBE level of DFT.

Cell: 5.2937 5.2937 5.2937 Å, 60.00 60.00 60.00°
Positions (direct):
Th (0.0000, 0.0000, 0.0000)
Mg (0.5000, 0.5000, 0.5000)
Tl (0.7500, 0.7500, 0.7500)
Cd (0.2500, 0.2500, 0.2500)

Computed properties:
Raw total energy, eV/cell: -12.6
Symmetry: F-43m, No. 216
Density, g/cm³: 9.07
Formation enthalpy at 0 K, eV per atom: -0.076
N(E_F), states/eV/atom: 1.140
ΔE to the lowest computed polymorph, eV per atom: 0.040



11.
Computed, not measured: a geometry-optimized ThMgTlCd structure at the PBE level of DFT.

Cell: 4.5643 4.7735 4.8744 Å, 90.00 90.00 90.00°
Positions (direct):
Th (0.0000, 0.0000, 0.0000)
Mg (0.0000, 0.5000, 0.5000)
Tl (0.5000, 0.5000, 0.0000)
Cd (0.5000, 0.0000, 0.5000)

Computed properties:
Raw total energy, eV/cell: -12.8
Symmetry: Pmmm, No. 47
Density, g/cm³: 8.96
Formation enthalpy at 0 K, eV per atom: -0.116
N(E_F), states/eV/atom: 0.785
ΔE to the lowest computed polymorph, eV per atom: 0.000



12.
Computed, not measured: a geometry-optimized TmThMgCd structure at the PBE level of DFT.

Cell: 5.3521 5.3521 5.3521 Å, 60.00 60.00 60.00°
Positions (direct):
Tm (0.0000, 0.0000, 0.0000)
Th (0.5000, 0.5000, 0.5000)
Mg (0.7500, 0.7500, 0.7500)
Cd (0.2500, 0.2500, 0.2500)

Computed properties:
Raw total energy, eV/cell: -14.7
Symmetry: F-43m, No. 216
Density, g/cm³: 8.24
Formation enthalpy at 0 K, eV per atom: -0.070
N(E_F), states/eV/atom: 0.862



13.
Computed, not measured: a geometry-optimized YThMgCd structure at the PBE level of DFT.

Cell: 5.3869 5.3869 5.3869 Å, 60.00 60.00 60.00°
Positions (direct):
Y (0.0000, 0.0000, 0.0000)
Th (0.5000, 0.5000, 0.5000)
Mg (0.2500, 0.2500, 0.2500)
Cd (0.7500, 0.7500, 0.7500)

Computed properties:
Raw total energy, eV/cell: -16.8
Symmetry: F-43m, No. 216
Density, g/cm³: 6.88
Formation enthalpy at 0 K, eV per atom: -0.092
N(E_F), states/eV/atom: 0.947



14.
Computed, not measured: a geometry-optimized Mg6TiCd structure at the PBE level of DFT.

Cell: 4.9680 6.3414 6.3414 Å, 59.13 90.00 90.00°
Positions (direct):
Mg (0.0000, 0.0000, 0.0000)
Mg (0.0000, 0.0114, 0.4975)
Mg (0.0000, 0.4975, 0.0114)
Mg (0.0000, 0.4978, 0.4978)
Mg (0.5000, 0.3402, 0.8362)
Mg (0.5000, 0.8362, 0.3402)
Ti (0.5000, 0.3395, 0.3395)
Cd (0.5000, 0.8342, 0.8342)

Computed properties:
Raw total energy, eV/cell: -17.9
Symmetry: Amm2, No. 38
Density, g/cm³: 2.96
Formation enthalpy at 0 K, eV per atom: 0.056
N(E_F), states/eV/atom: 0.627



15.
Computed, not measured: a geometry-optimized Mg6TiCd structure at the PBE level of DFT.

Cell: 4.9762 6.3283 6.3283 Å, 59.63 90.00 90.00°
Positions (direct):
Mg (0.0000, 0.0000, 0.0000)
Mg (0.0000, 0.5029, 0.9920)
Mg (0.0000, 0.9920, 0.5029)
Mg (0.5000, 0.1653, 0.6605)
Mg (0.5000, 0.1660, 0.1660)
Mg (0.5000, 0.6605, 0.1653)
Ti (0.5000, 0.6627, 0.6627)
Cd (0.0000, 0.5066, 0.5066)

Computed properties:
Raw total energy, eV/cell: -17.9
Symmetry: Amm2, No. 38
Density, g/cm³: 2.96
Formation enthalpy at 0 K, eV per atom: 0.056
N(E_F), states/eV/atom: 0.540



16.
Computed, not measured: a geometry-optimized Mg2TiCd2 structure at the PBE level of DFT.

Cell: 8.1615 8.1615 3.0993 Å, 90.00 90.00 90.00°
Positions (direct):
Mg (0.1285, 0.3715, 0.0000)
Mg (0.3715, 0.8715, 0.0000)
Mg (0.6285, 0.1285, 0.0000)
Mg (0.8715, 0.6285, 0.0000)
Ti (0.0000, 0.0000, 0.0000)
Ti (0.5000, 0.5000, 0.0000)
Cd (0.1723, 0.6723, 0.5000)
Cd (0.3277, 0.1723, 0.5000)
Cd (0.6723, 0.8277, 0.5000)
Cd (0.8277, 0.3277, 0.5000)

Computed properties:
Raw total energy, eV/cell: -24.4
Symmetry: P4/mbm, No. 127
Density, g/cm³: 5.17
Formation enthalpy at 0 K, eV per atom: 0.143
N(E_F), states/eV/atom: 0.522
ΔE to the lowest computed polymorph, eV per atom: 0.013



17.
Computed, not measured: a geometry-optimized Mg4TiCd5 structure at the PBE level of DFT.

Cell: 3.2301 3.2301 19.9038 Å, 90.00 90.00 90.00°
Positions (direct):
Mg (0.0000, 0.0000, 0.1029)
Mg (0.0000, 0.0000, 0.3055)
Mg (0.0000, 0.0000, 0.6945)
Mg (0.0000, 0.0000, 0.8971)
Ti (0.0000, 0.0000, 0.5000)
Cd (0.5000, 0.5000, 0.0000)
Cd (0.5000, 0.5000, 0.2039)
Cd (0.5000, 0.5000, 0.4059)
Cd (0.5000, 0.5000, 0.5941)
Cd (0.5000, 0.5000, 0.7961)

Computed properties:
Raw total energy, eV/cell: -19.6
Symmetry: P4/mmm, No. 123
Density, g/cm³: 5.65
Formation enthalpy at 0 K, eV per atom: -0.071
N(E_F), states/eV/atom: 0.302



18.
Computed, not measured: a geometry-optimized Mg2Ti2Cd structure at the PBE level of DFT.

Cell: 8.7171 8.7171 8.7171 Å, 156.21 156.21 33.90°
Positions (direct):
Mg (0.0997, 0.0997, 0.0000)
Mg (0.9003, 0.9003, 0.0000)
Ti (0.2500, 0.7500, 0.5000)
Ti (0.7500, 0.2500, 0.5000)
Cd (0.5000, 0.5000, 0.0000)

Computed properties:
Raw total energy, eV/cell: -18.3
Symmetry: I4/mmm, No. 139
Density, g/cm³: 3.96
Formation enthalpy at 0 K, eV per atom: 0.319
N(E_F), states/eV/atom: 0.691



19.
Computed, not measured: a geometry-optimized Mg2TiCd structure at the PBE level of DFT.

Cell: 4.8343 4.8343 4.8343 Å, 60.00 60.00 60.00°
Positions (direct):
Mg (0.0000, 0.0000, 0.0000)
Mg (0.2500, 0.2500, 0.2500)
Ti (0.5000, 0.5000, 0.5000)
Cd (0.7500, 0.7500, 0.7500)

Computed properties:
Raw total energy, eV/cell: -11.5
Symmetry: F-43m, No. 216
Density, g/cm³: 4.34
Formation enthalpy at 0 K, eV per atom: 0.113
N(E_F), states/eV/atom: 0.761



20.
Computed, not measured: a geometry-optimized Mg2TiCd structure at the PBE level of DFT.

Cell: 3.0792 3.0792 8.5743 Å, 90.00 90.00 90.00°
Positions (direct):
Mg (0.0000, 0.0000, 0.2453)
Mg (0.0000, 0.0000, 0.7547)
Ti (0.5000, 0.5000, 0.0000)
Cd (0.5000, 0.5000, 0.5000)

Computed properties:
Raw total energy, eV/cell: -11.8
Symmetry: P4/mmm, No. 123
Density, g/cm³: 4.27
Formation enthalpy at 0 K, eV per atom: 0.045
N(E_F), states/eV/atom: 0.640



21.
Computed, not measured: a geometry-optimized Mg2TiCd structure at the PBE level of DFT.

Cell: 4.3111 4.3111 4.3149 Å, 90.00 90.00 90.00°
Positions (direct):
Mg (0.0000, 0.5000, 0.0000)
Mg (0.5000, 0.0000, 0.0000)
Ti (0.0000, 0.0000, 0.5000)
Cd (0.5000, 0.5000, 0.5000)

Computed properties:
Raw total energy, eV/cell: -11.8
Symmetry: P4/mmm, No. 123
Density, g/cm³: 4.33
Formation enthalpy at 0 K, eV per atom: 0.040
N(E_F), states/eV/atom: 0.882



22.
Computed, not measured: a geometry-optimized Mg2TiCd structure at the PBE level of DFT.

Cell: 6.2457 6.2457 6.2457 Å, 102.78 102.78 123.89°
Positions (direct):
Mg (0.1111, 0.6250, 0.9861)
Mg (0.3750, 0.3611, 0.4861)
Mg (0.6389, 0.1250, 0.0139)
Mg (0.8750, 0.8889, 0.5139)
Ti (0.2500, 0.7500, 0.5000)
Ti (0.5000, 0.5000, 0.0000)
Cd (0.0000, 0.0000, 0.0000)
Cd (0.7500, 0.2500, 0.5000)

Computed properties:
Raw total energy, eV/cell: -20.7
Symmetry: I-42d, No. 122
Density, g/cm³: 3.89
Formation enthalpy at 0 K, eV per atom: 0.409
N(E_F), states/eV/atom: 0.662



23.
Computed, not measured: a geometry-optimized Mg2Ti2Cd structure at the PBE level of DFT.

Cell: 7.5728 7.5728 3.4216 Å, 90.00 90.00 90.00°
Positions (direct):
Mg (0.1445, 0.3555, 0.0000)
Mg (0.3555, 0.8555, 0.0000)
Mg (0.6445, 0.1445, 0.0000)
Mg (0.8555, 0.6445, 0.0000)
Ti (0.1504, 0.6504, 0.5000)
Ti (0.3496, 0.1504, 0.5000)
Ti (0.6504, 0.8496, 0.5000)
Ti (0.8496, 0.3496, 0.5000)
Cd (0.0000, 0.0000, 0.0000)
Cd (0.5000, 0.5000, 0.0000)

Computed properties:
Raw total energy, eV/cell: -36.6
Symmetry: P4/mbm, No. 127
Density, g/cm³: 4.35
Formation enthalpy at 0 K, eV per atom: 0.317
N(E_F), states/eV/atom: 0.478



24.
Computed, not measured: a geometry-optimized Mg14TiCd structure at the PBE level of DFT.

Cell: 10.1314 6.3530 6.3530 Å, 59.70 90.00 90.00°
Positions (direct):
Mg (0.0000, 0.0000, 0.0000)
Mg (0.0000, 0.0006, 0.5006)
Mg (0.0000, 0.5000, 0.5000)
Mg (0.0000, 0.5006, 0.0006)
Mg (0.2551, 0.1626, 0.1626)
Mg (0.2558, 0.6659, 0.6659)
Mg (0.2580, 0.1635, 0.6741)
Mg (0.2580, 0.6741, 0.1635)
Mg (0.5000, 0.0040, 0.4978)
Mg (0.5000, 0.4978, 0.0040)
Mg (0.7420, 0.1635, 0.6741)
Mg (0.7420, 0.6741, 0.1635)
Mg (0.7442, 0.6659, 0.6659)
Mg (0.7449, 0.1626, 0.1626)
Ti (0.5000, 0.0024, 0.0024)
Cd (0.5000, 0.4985, 0.4985)

Computed properties:
Raw total energy, eV/cell: -30.8
Symmetry: Amm2, No. 38
Density, g/cm³: 2.35
Formation enthalpy at 0 K, eV per atom: 0.020
N(E_F), states/eV/atom: 0.458